A relaxed structure of Si2NiTe, computed with PBE.

abc: 5.6154 3.6821 3.6820
angles: 87.85 71.61 108.39
Closest atoms and distances in Å follow each position.
Element x y z (fractional)
Ni 0.5000 0.0000 0.5000  4 Te 2.55-2.65, 4 Si 2.83
Si 0.0000 0.0000 0.0000  4 Si 2.55-2.65, 2 Te 2.83, 2 Ni 2.83
Si 0.0000 0.5000 0.5000  4 Si 2.55-2.65, 2 Ni 2.83, 2 Te 2.83
Te 0.5000 0.5000 0.0000  4 Ni 2.55-2.65, 4 Si 2.83

The size of the total moment is 0.00 μB per cell. The total energy comes out at -18.81 eV/cell. As for the symmetry: Fmmm, No. 69. As for the crystal system: orthorhombic.